No. 1
NiMo2W after structural relaxation, computed with PBE.

Its density of states at the Fermi level is 3.54 states/eV/f.u. As for the energy above the most stable polymorph in this dataset: 171.7 meV per atom. The energy of formation from the pure elements is 220 meV per atom. Its total moment is 0.0 μB per formula unit. As for the calculated total energy: -9.88 eV/atom.

The space group is Cmmm (No. 65) and the conventional cell measures 5.429, 8.189 and 2.690 Å, with angles of 90.00, 90.00 and 90.00 degrees. The distinct sites, in fractional coordinates, are Ni at (0.000, 0.000, 0.000), Mo at (0.250, 0.250, 0.500) and W at (0.000, 0.500, 0.000).



No. 2
K2HfTe3O12 after structural relaxation, computed with PBE.

Its total moment is 0.0 μB per formula unit. As for the calculated total energy: -6.11 eV/atom. The energy relative to the elements, uncorrected comes out at -28.970 eV/f.u.

The space group is R-3m (No. 166, hexagonal axes) and the conventional cell measures 7.3008, 7.3008 and 18.1466 Å, with angles of 90.00, 90.00 and 120.00 degrees. The distinct sites, in fractional coordinates, are K at (0.0000, 0.0000, 0.1284), Hf at (0.0000, 0.0000, 0.5000), Te at (0.0000, 0.5000, 0.0000), O at (0.0649, 0.5325, 0.1021) and O at (0.0677, 0.5339, 0.3565).



No. 3
BeAgW2 after structural relaxation, computed with PBE.

Its density of states at the Fermi level is 2.00 states/eV/f.u. The energy of formation from the pure elements is 631 meV per atom. Its total moment is 0.0 μB per formula unit. As for the calculated total energy: -7.49 eV/atom.

The space group is I-4m2 (No. 119) and the conventional cell measures 3.899, 3.899 and 7.873 Å, with angles of 90.00, 90.00 and 90.00 degrees. The distinct sites, in fractional coordinates, are Be at (0.000, 0.000, 0.000), Ag at (0.000, 0.500, 0.250), W at (0.000, 0.000, 0.500) and W at (0.000, 0.500, 0.750).



No. 4
NaLi4Sm after structural relaxation, computed with PBE.

Its density of states at the Fermi level is 4.57 states/eV/f.u. The energy of formation from the pure elements is 154 meV per atom. Its total moment is 1.2 μB per formula unit. As for the calculated total energy: -2.13 eV/atom.

The space group is F-43m (No. 216) and the conventional cell measures 8.408, 8.408 and 8.408 Å, with angles of 90.00, 90.00 and 90.00 degrees. The distinct sites, in fractional coordinates, are Na at (0.000, 0.000, 0.000), Li at (0.125, 0.125, 0.625) and Sm at (0.250, 0.250, 0.250).



No. 5
Pr2YEr after structural relaxation, computed with PBE.

Its density of states at the Fermi level is 6.11 states/eV/f.u. As for the energy above the most stable polymorph in this dataset: 8.8 meV per atom. The energy of formation from the pure elements is 20 meV per atom. Its total moment is 0.0 μB per formula unit. As for the calculated total energy: -5.13 eV/atom.

The space group is P4/mmm (No. 123) and the conventional cell measures 3.650, 3.650 and 10.136 Å, with angles of 90.00, 90.00 and 90.00 degrees. The distinct sites, in fractional coordinates, are Pr at (0.000, 0.000, 0.248), Y at (0.500, 0.500, 0.500) and Er at (0.500, 0.500, 0.000).



No. 6
NiAs2 after structural relaxation, computed with PBE.

Its density of states at the Fermi level is 3.34 states/eV/f.u. The energy of formation from the pure elements is 799 meV per atom. Its total moment is 0.5 μB per formula unit. As for the calculated total energy: -4.23 eV/atom.

The space group is Fd-3m (No. 227, origin choice 2) and the conventional cell measures 7.565, 7.565 and 7.565 Å, with angles of 90.00, 90.00 and 90.00 degrees. The distinct sites, in fractional coordinates, are Ni at (0.125, 0.125, 0.125) and As at (0.000, 0.000, 0.500).



No. 7
GdYTmZn after structural relaxation, computed with PBE.

Its density of states at the Fermi level is 4.62 states/eV/f.u. The energy of formation from the pure elements is 23 meV per atom. Its total moment is 7.6 μB per formula unit. As for the calculated total energy: -6.55 eV/atom.

The space group is F-43m (No. 216) and the conventional cell measures 7.535, 7.535 and 7.535 Å, with angles of 90.00, 90.00 and 90.00 degrees. The distinct sites, in fractional coordinates, are Gd at (0.000, 0.000, 0.000), Y at (0.000, 0.000, 0.500), Tm at (0.250, 0.250, 0.750) and Zn at (0.250, 0.250, 0.250).



No. 8
RbRe3Sb after structural relaxation, computed with PBE.

Its density of states at the Fermi level is 6.10 states/eV/f.u. As for the energy above the most stable polymorph in this dataset: 0.0 meV per atom. Its total moment is 4.3 μB per formula unit. As for the calculated total energy: -5.89 eV/atom. The energy relative to the elements, uncorrected comes out at 12.963 eV/f.u.

The space group is Pm-3m (No. 221) and the conventional cell measures 5.052, 5.052 and 5.052 Å, with angles of 90.00, 90.00 and 90.00 degrees. The distinct sites, in fractional coordinates, are Rb at (0.000, 0.000, 0.000), Re at (0.000, 0.500, 0.500) and Sb at (0.500, 0.500, 0.500).



No. 9
SiAg2Pt after structural relaxation, computed with PBE.

Its density of states at the Fermi level is 2.06 states/eV/f.u. Its total moment is 0.0 μB per formula unit. As for the calculated total energy: -4.26 eV/atom. The energy relative to the elements, uncorrected comes out at 0.143 eV/f.u.

The space group is Pmmm (No. 47) and the conventional cell measures 3.781, 3.876 and 4.421 Å, with angles of 90.00, 90.00 and 90.00 degrees. The distinct sites, in fractional coordinates, are Si at (0.000, 0.000, 0.000), Ag at (0.000, 0.500, 0.500), Ag at (0.500, 0.000, 0.500) and Pt at (0.500, 0.500, 0.000).



No. 10
Ba2InI after structural relaxation, computed with PBE.

Its density of states at the Fermi level is 3.30 states/eV/f.u. As for the energy above the most stable polymorph in this dataset: 41.8 meV per atom. Its total moment is 0.0 μB per formula unit. As for the calculated total energy: -2.87 eV/atom. The energy relative to the elements, uncorrected comes out at -3.337 eV/f.u.

The space group is R-3m (No. 166, hexagonal axes) and the conventional cell measures 4.7639, 4.7639 and 28.4421 Å, with angles of 90.00, 90.00 and 120.00 degrees. The distinct sites, in fractional coordinates, are Ba at (0.0000, 0.0000, 0.2461), In at (0.0000, 0.0000, 0.5000) and I at (0.0000, 0.0000, 0.0000).



No. 11
Li2AgBiF after structural relaxation, computed with PBE.

Its density of states at the Fermi level is 2.66 states/eV/f.u. Its total moment is 0.0 μB per formula unit. As for the calculated total energy: -2.71 eV/atom. The energy relative to the elements, uncorrected comes out at -1.139 eV/f.u.

The space group is P4/mmm (No. 123) and the conventional cell measures 5.103, 5.103 and 5.215 Å, with angles of 90.00, 90.00 and 90.00 degrees. The distinct sites, in fractional coordinates, are Li at (0.000, 0.500, 0.000), Ag at (0.000, 0.000, 0.000), Bi at (0.000, 0.000, 0.500) and F at (0.500, 0.500, 0.500).